A plane-wave DFT calculation with PBEsol was carried out for an optimized crystal structure of Tc2MoPb.

Summary:
**Density of states at the Fermi level**: 0.82 states/eV per atom
**Energy relative to the elements**: 681 meV/atom

abc: 3.1844 4.2899 4.7812
angles: 90.00 90.00 90.00
Closest atoms and distances in Å follow each position.
Sites, in units of the cell vectors:
Mo 0.5000 0.5000 0.0000  4 Tc 2.67, 4 Pb 2.87
Tc 0.0000 0.0000 0.0000  4 Mo 2.67, 4 Tc 2.87
Tc 0.5000 0.0000 0.5000  4 Pb 2.67, 4 Tc 2.87
Pb 0.0000 0.5000 0.5000  4 Tc 2.67, 4 Mo 2.87

=====

A plane-wave DFT calculation with PBEsol was carried out for an optimized crystal structure of PrF3.

Summary:
**Formation energy from raw total energies**: -4.13 eV per atom
**Density of states at the Fermi level**: 0.00 states/eV per atom

abc: 7.0225 7.0225 7.2228
angles: 90.00 90.00 120.00
Closest atoms and distances in Å follow each position.
Sites, in units of the cell vectors:
F 0.9400 0.3106 0.5815  3 Pr 2.42-2.56, 6 F 2.54-2.71
F 0.6294 0.6894 0.9185  3 Pr 2.42-2.56, 6 F 2.54-2.71
F 0.6894 0.0600 0.0815  3 Pr 2.42-2.56, 6 F 2.54-2.71
F 0.3333 0.6667 0.6795  3 Pr 2.36
F 0.3706 0.3106 0.0815  3 Pr 2.42-2.56, 6 F 2.54-2.71
F 0.6894 0.6294 0.5815  3 Pr 2.42-2.56, 6 F 2.54-2.71
F 0.6667 0.3333 0.3205  3 Pr 2.36
F 0.3106 0.9400 0.9185  3 Pr 2.42-2.56, 6 F 2.54-2.71
F 0.0600 0.6894 0.4185  3 Pr 2.42-2.56, 6 F 2.54-2.71
F 0.3333 0.6667 0.1795  3 Pr 2.36
F 0.6667 0.3333 0.8205  3 Pr 2.36
F 0.0600 0.3706 0.9185  3 Pr 2.42-2.56, 6 F 2.54-2.71
F 0.0000 0.0000 0.7500  3 Pr 2.41
F 0.6294 0.9400 0.4185  3 Pr 2.42-2.56, 6 F 2.54-2.71
F 0.9400 0.6294 0.0815  3 Pr 2.42-2.56, 6 F 2.54-2.71
F 0.3106 0.3706 0.4185  3 Pr 2.42-2.56, 6 F 2.54-2.71
F 0.3706 0.0600 0.5815  3 Pr 2.42-2.56, 6 F 2.54-2.71
F 0.0000 0.0000 0.2500  3 Pr 2.41
Pr 0.0000 0.3437 0.2500  9 F 2.36-2.56
Pr 0.3437 0.0000 0.2500  9 F 2.36-2.56
Pr 0.3437 0.3437 0.7500  9 F 2.36-2.56
Pr 0.0000 0.6563 0.7500  9 F 2.36-2.56
Pr 0.6563 0.6563 0.2500  9 F 2.36-2.56
Pr 0.6563 0.0000 0.7500  9 F 2.36-2.56

=====

Number 1: total magnetization 0.00 Bohr magnetons per cell. Number 2: total magnetization 0.00 Bohr magnetons per cell.